Entry 1:
DFT (GGA-PBE) results for Cs3Ga2Sb4 after structural relaxation.

```
Cs3Ga2Sb4
1.0
7.715 -6.243 0.000
7.715 6.243 0.000
-2.021 0.000 7.999
Cs Ga Sb
6 4 8
Direct
0.092 0.908 0.750
0.248 0.507 0.423
0.493 0.752 0.077
0.507 0.248 0.923
0.752 0.493 0.577
0.908 0.092 0.250
0.093 0.321 0.014
0.321 0.093 0.514
0.679 0.907 0.486
0.907 0.679 0.986
0.114 0.281 0.672
0.170 0.536 0.905
0.281 0.114 0.172
0.464 0.830 0.595
0.536 0.170 0.405
0.719 0.886 0.828
0.830 0.464 0.095
0.886 0.719 0.328
```

Calculated values
For the energy, the calculation gives -3.108 eV per atom. Its spin magnetization is 0.00 μB/f.u. The calculation puts the energy above the most stable polymorph in this dataset at 17 meV per atom. As for the formation energy from raw total energies: -2.9 eV per formula unit. Its space group is C2/c, No. 15.

---

Entry 2:
DFT (GGA-PBE) results for CsGaSb2 after structural relaxation.

```
CsGaSb2
1.0
6.407 0.000 0.000
0.000 15.571 0.000
-2.349 0.000 6.077
Cs Ga Sb
4 4 8
Direct
0.000 0.096 0.250
0.000 0.904 0.750
0.500 0.404 0.750
0.500 0.596 0.250
0.000 0.260 0.750
0.000 0.740 0.250
0.500 0.240 0.250
0.500 0.760 0.750
0.153 0.356 0.131
0.153 0.644 0.631
0.347 0.144 0.869
0.347 0.856 0.369
0.653 0.144 0.631
0.653 0.856 0.131
0.847 0.356 0.369
0.847 0.644 0.869
```

Calculated values
For the energy, the calculation gives -3.332 eV per atom. Its spin magnetization is 0.00 μB/f.u. As for the formation energy from raw total energies: -1.2 eV per formula unit. Its space group is C2/c, No. 15.